{"formula": "Th2CdHgC", "functional": "PBE-GGA", "state": "optimized geometry", "ef_ev_per_atom": -0.172, "volume_a3_per_atom": 23.8, "n_ef_per_ev_atom": 0.671, "lattice": [[-2.456, 2.827, 1.490], [1.252, -0.878, 3.729], [10.707, 9.962, -1.250]], "species": ["Hg", "Hg", "C", "C", "Cd", "Cd", "Th", "Th", "Th", "Th"], "frac_coords": [[0.500, 0.000, 0.652], [0.000, 0.500, 0.348], [0.500, 0.000, 0.084], [0.000, 0.500, 0.916], [0.000, 0.000, 0.500], [0.500, 0.500, 0.500], [0.000, 0.500, 0.754], [0.500, 0.000, 0.246], [0.500, 0.000, 0.917], [0.000, 0.500, 0.083]]}